An optimized crystal structure of CuReNF2. Source: the Alexandria database, functional PBE.

The space group is P4/mmm (No. 123) and the conventional cell measures 4.180, 4.180 and 3.801 Å, with angles of 90.00, 90.00 and 90.00 degrees. The asymmetric unit holds Cu at (0.000, 0.000, 0.000), Re at (0.500, 0.500, 0.500), N at (0.500, 0.500, 0.000) and F at (0.000, 0.500, 0.500).

The value obtained for the total energy is -29.74 eV for the cell shown. For the energy above the most stable polymorph in this dataset, the calculation gives 0 meV/atom. The uncorrected formation energy comes out at -226.5 meV/atom.